## RbZrAl (PBE)

Data for a geometry-optimized RbZrAl structure.

Cell lengths 5.473, 5.473, 6.384 Å; angles 90.00, 90.00, 120.00 degrees
Fractional positions:
Zr1 0.000 0.000 0.250
Zr2 0.000 0.000 0.750
Rb1 0.667 0.333 0.500
Rb2 0.667 0.333 0.000
Al1 0.333 0.667 0.250
Al2 0.333 0.667 0.750

The value obtained for the energy above the lowest structure with this stoichiometry is 822 meV/atom. As for the crystal system: hexagonal.